Sn2WAuN | PBE | relaxed

calculated total energy = -24.42 eV/f.u.

Cell: 5.308 5.308 5.045 Å, 90.00 90.00 90.00°
Positions (direct):
Sn 0.000 0.500 0.000
Sn 0.500 0.000 0.000
W 0.000 0.000 0.000
Au 0.000 0.000 0.500
N 0.500 0.500 0.500

ZrSnAuN2 | PBE | relaxed

calculated total energy = -25.02 eV/f.u.

Cell: 4.146 4.146 5.592 Å, 90.00 90.00 90.00°
Positions (direct):
Zr 0.000 0.000 0.000
Sn 0.500 0.500 0.000
Au 0.000 0.000 0.500
N 0.000 0.500 0.500
N 0.500 0.000 0.500

Sr6Au2N | PBE | relaxed

calculated total energy = -30.04 eV/f.u.

Cell: 7.309 8.110 12.552 Å, 90.00 123.91 90.00°
Positions (direct):
Sr 0.115 0.033 0.235
Sr 0.115 0.467 0.735
Sr 0.212 0.710 0.058
Sr 0.212 0.790 0.558
Sr 0.354 0.163 0.056
Sr 0.354 0.337 0.556
Sr 0.646 0.663 0.444
Sr 0.646 0.837 0.944
Sr 0.788 0.210 0.442
Sr 0.788 0.290 0.942
Sr 0.885 0.533 0.265
Sr 0.885 0.967 0.765
Au 0.291 0.103 0.753
Au 0.291 0.397 0.253
Au 0.709 0.603 0.747
Au 0.709 0.897 0.247
N 0.000 0.000 0.000
N 0.000 0.500 0.500

Calculated magnetic moment, 2.6 1.6 0.0 Bohr magnetons per cell (same order as the records).
Calculated energy relative to the elements, uncorrected, 1.628 1.492 -0.564 eV per atom (same order as the records).